# 1
Computed, not measured: a relaxed structure of LiMnRe2 at the PBE level of DFT.

Lattice parameters (Å, degrees): 2.6623 2.6623 8.9844 90.00 90.00 112.03
Positions (direct):
Li 0.0000 0.0000 0.0000
Mn 0.5000 0.5000 0.7387
Re 0.0000 0.0000 0.5057
Re 0.5000 0.5000 0.2579

Output
The total energy comes out at -0.320 Ha/atom. Its excess energy over the best structure of this formula in the dataset is 117 meV/atom. Its symmetry is Cmm2 (35). The value obtained for the total moment is 2.9 μB/f.u. Its formation enthalpy at 0 K is 0.294 eV per atom. For the calculated volume, the calculation gives 59.0 Å³ per cell.


# 2
Computed, not measured: a relaxed structure of ScTa2Hg at the PBE level of DFT.

Lattice parameters (Å, degrees): 2.9625 2.9625 9.3729 90.00 90.00 105.02
Positions (direct):
Sc 0.0000 0.0000 0.0000
Ta 0.0000 0.0000 0.4794
Ta 0.5000 0.5000 0.2492
Hg 0.5000 0.5000 0.7380

Output
The total energy comes out at -0.276 Ha/atom. Its symmetry is Cmm2 (35). The value obtained for the total moment is 0.0 μB/f.u. Its formation enthalpy at 0 K is 0.075 eV per atom. For the calculated volume, the calculation gives 79.4 Å³ per cell.


# 3
Computed, not measured: a relaxed structure of Rb2HfTlS4 at the PBE level of DFT.

Lattice parameters (Å, degrees): 13.6571 12.0784 8.0045 83.04 61.39 35.58
Positions (direct):
Rb 0.0583 0.0583 0.6917
Rb 0.3083 0.3083 0.9417
Rb 0.6917 0.6917 0.0583
Rb 0.9417 0.9417 0.3083
Hf 0.1250 0.1250 0.1250
Hf 0.8750 0.8750 0.8750
Tl 0.3750 0.3750 0.3750
Tl 0.6250 0.6250 0.6250
S 0.0747 0.2893 0.3719
S 0.2358 0.6281 0.7107
S 0.2893 0.0747 0.7642
S 0.3719 0.7642 0.0747
S 0.6281 0.2358 0.9253
S 0.7107 0.9253 0.2358
S 0.7642 0.3719 0.2893
S 0.9253 0.7107 0.6281

Output
The total energy comes out at -0.180 Ha/atom. Its symmetry is Fddd (70). The calculation puts the uncorrected formation energy at -1.0439 eV per atom. The value obtained for the total moment is 0.0 μB/f.u. For the calculated volume, the calculation gives 573.9 Å³ per cell.


# 4
Computed, not measured: a relaxed structure of LaSi at the PBE level of DFT.

Lattice parameters (Å, degrees): 4.1168 4.1168 15.4736 90.00 90.00 120.00
Positions (direct):
La 0.3333 0.6667 0.1178
La 0.3333 0.6667 0.3822
La 0.6667 0.3333 0.6178
La 0.6667 0.3333 0.8822
Si 0.0000 0.0000 0.2500
Si 0.0000 0.0000 0.7500
Si 0.3333 0.6667 0.7500
Si 0.6667 0.3333 0.2500

Output
The total energy comes out at -0.209 Ha/atom. Its symmetry is P6_3/mmc (194). The calculation puts the uncorrected formation energy at -0.5100 eV per atom. The value obtained for the total moment is 0.2 μB/f.u. For the calculated volume, the calculation gives 227.1 Å³ per cell.


# 5
Computed, not measured: a relaxed structure of CaAcOs2N4 at the PBE level of DFT.

Lattice parameters (Å, degrees): 5.4729 5.4729 5.4729 119.34 119.34 91.15
Positions (direct):
Ca 0.0000 0.0000 0.0000
Ac 0.5000 0.5000 0.0000
Os 0.2500 0.7500 0.5000
Os 0.7500 0.2500 0.5000
N 0.0000 0.0000 0.5000
N 0.0000 0.5000 0.0000
N 0.5000 0.0000 0.0000
N 0.5000 0.5000 0.5000

Output
The total energy comes out at -0.304 Ha/atom. Its symmetry is I4/mmm (139). The calculation puts the uncorrected formation energy at -0.5351 eV per atom. The value obtained for the total moment is 0.0 μB/f.u. For the calculated volume, the calculation gives 117.1 Å³ per cell.


# 6
Computed, not measured: a relaxed structure of CaAgOs at the PBE level of DFT.

Lattice parameters (Å, degrees): 4.6735 4.6735 4.6735 60.00 60.00 60.00
Positions (direct):
Ca 0.0000 0.0000 0.0000
Ag 0.2500 0.2500 0.2500
Os 0.7500 0.7500 0.7500

Output
The total energy comes out at -0.142 Ha/atom. Its excess energy over the best structure of this formula in the dataset is 966 meV/atom. Its symmetry is F-43m (216). The value obtained for the total moment is 1.4 μB/f.u. Its formation enthalpy at 0 K is 1.499 eV per atom. For the calculated volume, the calculation gives 72.2 Å³ per cell.


# 7
Computed, not measured: a relaxed structure of Ce2ZrTi at the PBE level of DFT.

Lattice parameters (Å, degrees): 4.3446 4.3446 4.9942 90.00 90.00 90.00
Positions (direct):
Ce 0.0000 0.5000 0.0000
Ce 0.5000 0.0000 0.0000
Zr 0.0000 0.0000 0.5000
Ti 0.5000 0.5000 0.5000

Output
The total energy comes out at -0.254 Ha/atom. Its excess energy over the best structure of this formula in the dataset is 2 meV/atom. Its symmetry is P4/mmm (123). The value obtained for the total moment is 0.0 μB/f.u. Its formation enthalpy at 0 K is 0.164 eV per atom. For the calculated volume, the calculation gives 94.3 Å³ per cell.


# 8
Computed, not measured: a relaxed structure of Sr2ScPt at the PBE level of DFT.

Lattice parameters (Å, degrees): 8.3496 8.3496 8.3496 95.29 95.29 144.63
Positions (direct):
Sr 0.3750 0.2214 0.3464
Sr 0.7786 0.1250 0.1536
Sr 0.8750 0.0286 0.6536
Sr 0.9714 0.6250 0.8464
Sc 0.2500 0.7500 0.5000
Sc 0.5000 0.5000 0.0000
Pt 0.0000 0.0000 0.0000
Pt 0.7500 0.2500 0.5000

Output
The total energy comes out at -0.155 Ha/atom. Its excess energy over the best structure of this formula in the dataset is 181 meV/atom. Its symmetry is I-42d (122). The value obtained for the total moment is 0.0 μB/f.u. Its formation enthalpy at 0 K is -0.276 eV per atom. For the calculated volume, the calculation gives 321.0 Å³ per cell.


# 9
Computed, not measured: a relaxed structure of Rb3TeF at the PBE level of DFT.

Lattice parameters (Å, degrees): 10.6455 10.6455 6.9483 90.00 90.00 137.14
Positions (direct):
Rb 0.0000 0.0000 0.0000
Rb 0.0000 0.0000 0.5000
Rb 0.0680 0.4388 0.7500
Rb 0.4388 0.0680 0.2500
Rb 0.5612 0.9320 0.7500
Rb 0.9320 0.5612 0.2500
Te 0.1565 0.8435 0.7500
Te 0.8435 0.1565 0.2500
F 0.3960 0.6040 0.7500
F 0.6040 0.3960 0.2500

Output
The total energy comes out at -0.107 Ha/atom. Its excess energy over the best structure of this formula in the dataset is 349 meV/atom. Its symmetry is Cmcm (63). The calculation puts the uncorrected formation energy at -1.3310 eV per atom. The value obtained for the total moment is 0.0 μB/f.u. For the calculated volume, the calculation gives 535.7 Å³ per cell.


# 10
Computed, not measured: a relaxed structure of Tl2SbCl at the PBE level of DFT.

Lattice parameters (Å, degrees): 10.4596 10.4596 10.4596 20.42 20.42 20.42
Positions (direct):
Tl 0.2406 0.2406 0.2406
Tl 0.7594 0.7594 0.7594
Sb 0.0000 0.0000 0.0000
Cl 0.5000 0.5000 0.5000

Output
The total energy comes out at -0.108 Ha/atom. Its excess energy over the best structure of this formula in the dataset is 100 meV/atom. Its symmetry is R-3m (166). The calculation puts the uncorrected formation energy at -0.2523 eV per atom. The value obtained for the total moment is 0.0 μB/f.u. For the calculated volume, the calculation gives 121.9 Å³ per cell.


# 11
Computed, not measured: a relaxed structure of Be2GaAu2 at the PBE level of DFT.

Lattice parameters (Å, degrees): 7.1986 7.1986 2.7943 90.00 90.00 90.00
Positions (direct):
Be 0.1446 0.3554 0.0000
Be 0.3554 0.8554 0.0000
Be 0.6446 0.1446 0.0000
Be 0.8554 0.6446 0.0000
Ga 0.0000 0.0000 0.5000
Ga 0.5000 0.5000 0.5000
Au 0.1502 0.6502 0.5000
Au 0.3498 0.1502 0.5000
Au 0.6502 0.8498 0.5000
Au 0.8498 0.3498 0.5000

Output
The total energy comes out at -0.126 Ha/atom. Its excess energy over the best structure of this formula in the dataset is 0 meV/atom. Its symmetry is P4/mbm (127). The value obtained for the total moment is 0.0 μB/f.u. Its formation enthalpy at 0 K is -0.026 eV per atom. For the calculated volume, the calculation gives 144.8 Å³ per cell.


# 12
Computed, not measured: a relaxed structure of HfSiBi3 at the PBE level of DFT.

Lattice parameters (Å, degrees): 5.6102 5.6102 5.6102 90.00 90.00 90.00
Positions (direct):
Hf 0.0000 0.0000 0.0000
Si 0.5000 0.5000 0.5000
Bi 0.0000 0.0000 0.5000
Bi 0.0000 0.5000 0.0000
Bi 0.5000 0.0000 0.0000

Output
The total energy comes out at -0.170 Ha/atom. Its symmetry is Pm-3m (221). The calculation puts the uncorrected formation energy at 0.7831 eV per atom. The value obtained for the total moment is 0.0 μB/f.u. For the calculated volume, the calculation gives 176.6 Å³ per cell.